## Be2BIr3 (PBE-GGA)

Data for crystalline Be2BIr3 at its relaxed geometry.

Geometry as extended XYZ:
```
12
Lattice="-0.2117 3.9326 0.3340 -0.9890 1.4269 5.9578 5.5058 0.0314 0.8426" Properties=species:S:1:pos:R:3 pbc="T T T"
Be 0.0000 0.0000 0.0000
Be 2.7529 0.0157 0.4213
Be 2.3509 1.8012 2.5297
Be 1.9541 3.5897 4.6046
B -0.3803 1.7987 1.9666
B 4.6853 3.5922 5.1678
Ir 3.6635 3.8770 2.9488
Ir 0.2665 3.3490 6.3283
Ir 0.6415 1.5139 4.1856
Ir 0.8191 3.6533 2.4942
Ir 3.4860 1.7376 4.6402
Ir 4.0385 2.0419 0.8061
```

Properties
* SG: C2/m, No. 12
* energy: -7.19 eV per atom